Record 1
The following is a DFT calculation (PBE-GGA) of an optimized crystal structure of KPm2AgO5.

## Properties
total moment	0.221	μB per atom
uncorrected energy	-6.265	eV per atom
formation energy without anion corrections	-1750	kJ/mol of formula units

a = 6.777 Å, b = 6.777 Å, c = 12.417 Å
α = 90.00°, β = 90.00°, γ = 90.00°
Space group I4/mcm (No. 140)
Unique sites:
K 0.000 0.000 0.250
Pm 0.172 0.328 0.000
Ag 0.000 0.500 0.250
O 0.000 0.000 0.000
O 0.137 0.363 0.385

=====

Record 2
The following is a DFT calculation (PBE-GGA) of an optimized crystal structure of Ac2Si3AgPt4.

## Properties
total moment	0.000	μB per atom
uncorrected energy	-6.062	eV per atom
formation energy without anion corrections	-879	kJ/mol of formula units

a = 4.427 Å, b = 4.427 Å, c = 10.243 Å
α = 90.00°, β = 90.00°, γ = 90.00°
Space group P-4m2 (No. 115)
Unique sites:
Ac 0.000 0.500 0.246
Si 0.000 0.000 0.000
Si 0.000 0.500 0.619
Ag 0.500 0.500 0.000
Pt 0.000 0.000 0.500
Pt 0.000 0.500 0.853
Pt 0.500 0.500 0.500

=====

Record 3
The following is a DFT calculation (PBE-GGA) of an optimized crystal structure of KBaCrH6.

## Properties
total moment	0.333	μB per atom
uncorrected energy	-3.765	eV per atom

a = 5.970 Å, b = 5.424 Å, c = 9.366 Å
α = 90.00°, β = 90.00°, γ = 90.00°
Space group Amm2 (No. 38)
Unique sites:
K 0.000 0.000 0.000
Ba 0.500 0.000 0.334
Cr 0.500 0.000 0.667
H 0.320 0.212 0.597
H 0.321 0.000 0.809

=====

Record 4
The following is a DFT calculation (PBE-GGA) of an optimized crystal structure of SbOs2Br.

## Properties
total moment	0.000	μB per atom
uncorrected energy	-5.864	eV per atom
formation energy without anion corrections	463	kJ/mol of formula units
ΔE to the lowest computed polymorph	774	meV per atom

a = 2.992 Å, b = 5.394 Å, c = 8.961 Å
α = 90.00°, β = 90.00°, γ = 90.00°
Space group Immm (No. 71)
Unique sites:
Sb 0.000 0.000 0.000
Os 0.000 0.500 0.258
Br 0.000 0.000 0.500

=====

Record 5
The following is a DFT calculation (PBE-GGA) of an optimized crystal structure of Se2INCl.

## Properties
total moment	0.623	μB per atom
uncorrected energy	-2.329	eV per atom
formation energy without anion corrections	680	kJ/mol of formula units
ΔE to the lowest computed polymorph	0	meV per atom

a = 5.746 Å, b = 5.746 Å, c = 3.976 Å
α = 90.00°, β = 90.00°, γ = 90.00°
Space group P4/mmm (No. 123)
Unique sites:
Se 0.000 0.500 0.000
I 0.000 0.000 0.000
N 0.000 0.000 0.500
Cl 0.500 0.500 0.500

=====

Record 6
The following is a DFT calculation (PBE-GGA) of an optimized crystal structure of RuPbNO2.

## Properties
total moment	1.003	μB per atom
uncorrected energy	-5.100	eV per atom
formation energy without anion corrections	553	kJ/mol of formula units

a = 4.230 Å, b = 4.230 Å, c = 4.318 Å
α = 90.00°, β = 90.00°, γ = 90.00°
Space group P4/mmm (No. 123)
Unique sites:
Ru 0.000 0.000 0.000
Pb 0.500 0.500 0.500
N 0.500 0.500 0.000
O 0.000 0.500 0.500